Entry 1:
Compound: Zn7Ir3Rh2
Source: the Alexandria database
Functional: PBE
Structure: optimized geometry

- V (Å³/atom) = 15.36
- DFT total energy (eV/atom) = -4.164
- formation energy (eV per atom) = 0.019

a b c (Å): 10.0887 10.0887 4.3031
angles (deg): 90.00 90.00 155.10
Last column: nearest neighbours and their distance in Å.
Fractional positions:
1 Zn 0.0000 0.0000 0.0000  8 Zn 2.64-2.66, 2 Rh 2.95
2 Zn 0.0796 0.9204 0.5000  4 Ir 2.55-2.68, 2 Rh 2.55, 2 Zn 2.66
3 Zn 0.2806 0.7194 0.0000  2 Zn 2.49, 3 Rh 2.57-2.58, 2 Ir 2.58
4 Zn 0.4239 0.5761 0.0000  4 Ir 2.57-2.62, 2 Rh 2.61, 3 Zn 2.64-2.82
5 Zn 0.5761 0.4239 0.0000  4 Ir 2.57-2.62, 2 Rh 2.61, 3 Zn 2.64-2.82
6 Zn 0.7194 0.2806 0.0000  2 Zn 2.49, 3 Rh 2.57-2.58, 2 Ir 2.58
7 Zn 0.9204 0.0796 0.5000  4 Ir 2.55-2.68, 2 Rh 2.55, 2 Zn 2.66
8 Ir 0.3527 0.6473 0.5000  6 Zn 2.55-2.58
9 Ir 0.5000 0.5000 0.5000  8 Zn 2.62-2.68, 2 Ir 2.90
10 Ir 0.6473 0.3527 0.5000  6 Zn 2.55-2.58
11 Rh 0.1495 0.8505 0.0000  7 Zn 2.55-2.61
12 Rh 0.8505 0.1495 0.0000  7 Zn 2.55-2.61


Entry 2:
Compound: ZnIrRh2
Source: the Alexandria database
Functional: PBE
Structure: optimized geometry

- V (Å³/atom) = 14.37
- DFT total energy (eV/atom) = -6.170
- formation energy (eV per atom) = 0.040

a b c (Å): 2.8137 4.5127 4.5261
angles (deg): 90.00 90.00 90.00
Last column: nearest neighbours and their distance in Å.
Fractional positions:
1 Zn 0.0000 0.0000 0.0000  4 Rh 2.66, 4 Ir 2.66, 2 Zn 2.81
2 Ir 0.5000 0.0000 0.5000  4 Rh 2.66, 4 Zn 2.66, 2 Ir 2.81
3 Rh 0.0000 0.5000 0.5000  4 Ir 2.66, 6 Rh 2.66-2.81
4 Rh 0.5000 0.5000 0.0000  4 Zn 2.66, 6 Rh 2.66-2.81


Entry 3:
Compound: ZnIrRh2
Source: the Alexandria database
Functional: PBE
Structure: optimized geometry

- V (Å³/atom) = 14.15
- DFT total energy (eV/atom) = -6.332
- formation energy (eV per atom) = -0.122

a b c (Å): 4.6952 4.6952 4.6952
angles (deg): 131.64 131.64 70.79
Last column: nearest neighbours and their distance in Å.
Fractional positions:
1 Zn 0.0000 0.0000 0.0000  8 Rh 2.71-2.72, 4 Ir 2.71
2 Ir 0.2500 0.7500 0.5000  8 Rh 2.71-2.72, 4 Zn 2.71
3 Rh 0.5000 0.5000 0.0000  4 Rh 2.71, 4 Ir 2.71, 4 Zn 2.72
4 Rh 0.7500 0.2500 0.5000  4 Rh 2.71, 4 Zn 2.71, 4 Ir 2.72


Entry 4:
Compound: ZnIrRh2
Source: the Alexandria database
Functional: PBE
Structure: optimized geometry

- V (Å³/atom) = 15.55
- DFT total energy (eV/atom) = -5.859
- formation energy (eV per atom) = 0.350

a b c (Å): 9.2883 9.2883 9.2883
angles (deg): 156.78 156.78 33.07
Last column: nearest neighbours and their distance in Å.
Fractional positions:
1 Zn 0.0000 0.0000 0.0000  4 Rh 2.59, 4 Ir 2.64
2 Zn 0.7500 0.2500 0.5000  4 Rh 2.59, 4 Ir 2.64
3 Ir 0.2500 0.7500 0.5000  4 Rh 2.59, 4 Zn 2.64
4 Ir 0.5000 0.5000 0.0000  4 Rh 2.59, 4 Zn 2.64
5 Rh 0.1267 0.6250 0.0017  2 Ir 2.59, 2 Zn 2.59, 4 Rh 2.63-2.65
6 Rh 0.3750 0.3767 0.5017  2 Ir 2.59, 2 Zn 2.59, 4 Rh 2.63-2.65
7 Rh 0.6233 0.1250 0.9983  2 Ir 2.59, 2 Zn 2.59, 4 Rh 2.63-2.65
8 Rh 0.8750 0.8733 0.4983  2 Ir 2.59, 2 Zn 2.59, 4 Rh 2.63-2.65


Entry 5:
Compound: ZnIr3Rh6
Source: the Alexandria database
Functional: PBE
Structure: optimized geometry

- V (Å³/atom) = 14.90
- DFT total energy (eV/atom) = -6.952
- formation energy (eV per atom) = 0.245

a b c (Å): 4.9422 4.9422 7.0460
angles (deg): 90.00 90.00 120.00
Last column: nearest neighbours and their distance in Å.
Fractional positions:
1 Zn 0.0000 0.0000 0.0000  6 Rh 2.39
2 Ir 0.0000 0.0000 0.5000  6 Ir 2.85, 6 Rh 2.91
3 Ir 0.3333 0.6667 0.5000  6 Rh 2.63, 6 Ir 2.85
4 Ir 0.6667 0.3333 0.5000  6 Rh 2.63, 6 Ir 2.85
5 Rh 0.0000 0.3969 0.8056  1 Zn 2.39, 4 Rh 2.62, 2 Ir 2.63
6 Rh 0.0000 0.6031 0.1944  1 Zn 2.39, 4 Rh 2.62, 2 Ir 2.63
7 Rh 0.3969 0.0000 0.8056  1 Zn 2.39, 4 Rh 2.62, 2 Ir 2.63
8 Rh 0.3969 0.3969 0.1944  1 Zn 2.39, 4 Rh 2.62, 2 Ir 2.63
9 Rh 0.6031 0.0000 0.1944  1 Zn 2.39, 4 Rh 2.62, 2 Ir 2.63
10 Rh 0.6031 0.6031 0.8056  1 Zn 2.39, 4 Rh 2.62, 2 Ir 2.63


Entry 6:
Compound: ZnIrRh6
Source: the Alexandria database
Functional: PBE
Structure: optimized geometry

- V (Å³/atom) = 14.19
- DFT total energy (eV/atom) = -6.865
- energy above the most stable polymorph in this dataset (kJ/mol of formula units) = 0
- formation energy (eV per atom) = -0.084

a b c (Å): 3.8465 3.8465 7.6729
angles (deg): 90.00 90.00 90.00
Last column: nearest neighbours and their distance in Å.
Fractional positions:
1 Zn 0.0000 0.0000 0.0000  12 Rh 2.72-2.73
2 Ir 0.0000 0.0000 0.5000  12 Rh 2.70-2.72
3 Rh 0.0000 0.5000 0.2534  2 Ir 2.70, 8 Rh 2.70-2.73, 2 Zn 2.73
4 Rh 0.0000 0.5000 0.7466  2 Ir 2.70, 8 Rh 2.70-2.73, 2 Zn 2.73
5 Rh 0.5000 0.0000 0.2534  2 Ir 2.70, 8 Rh 2.70-2.73, 2 Zn 2.73
6 Rh 0.5000 0.0000 0.7466  2 Ir 2.70, 8 Rh 2.70-2.73, 2 Zn 2.73
7 Rh 0.5000 0.5000 0.0000  4 Zn 2.72, 8 Rh 2.73
8 Rh 0.5000 0.5000 0.5000  8 Rh 2.70, 4 Ir 2.72


Entry 7:
Compound: Zn2Ir2Rh
Source: the Alexandria database
Functional: PBE
Structure: optimized geometry

- V (Å³/atom) = 14.93
- DFT total energy (eV/atom) = -5.380
- energy above the most stable polymorph in this dataset (kJ/mol of formula units) = 13
- formation energy (eV per atom) = 0.144

a b c (Å): 7.1538 7.1538 2.9178
angles (deg): 90.00 90.00 90.00
Last column: nearest neighbours and their distance in Å.
Fractional positions:
1 Zn 0.1705 0.3295 0.0000  6 Ir 2.50-2.61
2 Zn 0.3295 0.8295 0.0000  6 Ir 2.50-2.61
3 Zn 0.6705 0.1705 0.0000  6 Ir 2.50-2.61
4 Zn 0.8295 0.6705 0.0000  6 Ir 2.50-2.61
5 Ir 0.1289 0.6289 0.5000  6 Zn 2.50-2.61, 1 Ir 2.61
6 Ir 0.3711 0.1289 0.5000  6 Zn 2.50-2.61, 1 Ir 2.61
7 Ir 0.6289 0.8711 0.5000  6 Zn 2.50-2.61, 1 Ir 2.61
8 Ir 0.8711 0.3711 0.5000  6 Zn 2.50-2.61, 1 Ir 2.61
9 Rh 0.0000 0.0000 0.5000  4 Ir 2.81, 2 Rh 2.92, 8 Zn 3.03
10 Rh 0.5000 0.5000 0.5000  4 Ir 2.81, 2 Rh 2.92, 8 Zn 3.03


Entry 8:
Compound: ZnIr2Rh9
Source: the Alexandria database
Functional: PBE
Structure: optimized geometry

- V (Å³/atom) = 14.21
- DFT total energy (eV/atom) = -7.150
- formation energy (eV per atom) = -0.053

a b c (Å): 3.8469 3.8469 11.5246
angles (deg): 90.00 90.00 90.00
Last column: nearest neighbours and their distance in Å.
Fractional positions:
1 Zn 0.0000 0.0000 0.0000  12 Rh 2.72-2.73
2 Ir 0.0000 0.0000 0.3303  12 Rh 2.68-2.74
3 Ir 0.0000 0.0000 0.6697  12 Rh 2.68-2.74
4 Rh 0.0000 0.5000 0.1683  2 Ir 2.68, 8 Rh 2.72-2.73, 2 Zn 2.73
5 Rh 0.0000 0.5000 0.5000  8 Rh 2.70-2.72, 4 Ir 2.74
6 Rh 0.0000 0.5000 0.8317  2 Ir 2.68, 8 Rh 2.72-2.73, 2 Zn 2.73
7 Rh 0.5000 0.0000 0.1683  2 Ir 2.68, 8 Rh 2.72-2.73, 2 Zn 2.73
8 Rh 0.5000 0.0000 0.5000  8 Rh 2.70-2.72, 4 Ir 2.74
9 Rh 0.5000 0.0000 0.8317  2 Ir 2.68, 8 Rh 2.72-2.73, 2 Zn 2.73
10 Rh 0.5000 0.5000 0.0000  4 Zn 2.72, 8 Rh 2.73
11 Rh 0.5000 0.5000 0.3352  8 Rh 2.70-2.72, 4 Ir 2.72
12 Rh 0.5000 0.5000 0.6648  8 Rh 2.70-2.72, 4 Ir 2.72


Entry 9:
Compound: Zn4IrRh3
Source: the Alexandria database
Functional: PBE
Structure: optimized geometry

- V (Å³/atom) = 13.86
- DFT total energy (eV/atom) = -4.809
- formation energy (eV per atom) = -0.307

a b c (Å): 3.0243 3.0243 12.1208
angles (deg): 90.00 90.00 90.00
Last column: nearest neighbours and their distance in Å.
Fractional positions:
1 Zn 0.0000 0.0000 0.1246  8 Rh 2.62
2 Zn 0.0000 0.0000 0.3739  4 Rh 2.62, 4 Ir 2.63
3 Zn 0.0000 0.0000 0.6261  4 Rh 2.62, 4 Ir 2.63
4 Zn 0.0000 0.0000 0.8754  8 Rh 2.62
5 Ir 0.5000 0.5000 0.5000  8 Zn 2.63
6 Rh 0.5000 0.5000 0.0000  8 Zn 2.62
7 Rh 0.5000 0.5000 0.2496  8 Zn 2.62
8 Rh 0.5000 0.5000 0.7504  8 Zn 2.62


Entry 10:
Compound: Zn2Ir2Rh
Source: the Alexandria database
Functional: PBE
Structure: optimized geometry

- V (Å³/atom) = 14.51
- DFT total energy (eV/atom) = -5.408
- energy above the most stable polymorph in this dataset (kJ/mol of formula units) = 0
- formation energy (eV per atom) = 0.117

a b c (Å): 7.1723 7.1723 2.8208
angles (deg): 90.00 90.00 90.00
Last column: nearest neighbours and their distance in Å.
Fractional positions:
1 Zn 0.1209 0.3791 0.0000  1 Zn 2.45, 6 Ir 2.47-2.61
2 Zn 0.3791 0.8791 0.0000  1 Zn 2.45, 6 Ir 2.47-2.61
3 Zn 0.6209 0.1209 0.0000  1 Zn 2.45, 6 Ir 2.47-2.61
4 Zn 0.8791 0.6209 0.0000  1 Zn 2.45, 6 Ir 2.47-2.61
5 Ir 0.1791 0.6791 0.5000  6 Zn 2.47-2.61
6 Ir 0.3209 0.1791 0.5000  6 Zn 2.47-2.61
7 Ir 0.6791 0.8209 0.5000  6 Zn 2.47-2.61
8 Ir 0.8209 0.3209 0.5000  6 Zn 2.47-2.61
9 Rh 0.0000 0.0000 0.0000  2 Rh 2.82, 4 Zn 2.85, 8 Ir 2.99
10 Rh 0.5000 0.5000 0.0000  2 Rh 2.82, 4 Zn 2.85, 8 Ir 2.99


Entry 11:
Compound: ZnIrRh2
Source: the Alexandria database
Functional: PBE
Structure: optimized geometry

- V (Å³/atom) = 14.21
- DFT total energy (eV/atom) = -6.320
- formation energy (eV per atom) = -0.111

a b c (Å): 8.8131 8.8131 8.8131
angles (deg): 17.96 17.96 17.96
Last column: nearest neighbours and their distance in Å.
Fractional positions:
1 Zn 0.0000 0.0000 0.0000  6 Rh 2.67, 6 Zn 2.75
2 Ir 0.5000 0.5000 0.5000  6 Rh 2.70, 6 Ir 2.75
3 Rh 0.2506 0.2506 0.2506  3 Zn 2.67, 3 Ir 2.70, 6 Rh 2.75
4 Rh 0.7494 0.7494 0.7494  3 Zn 2.67, 3 Ir 2.70, 6 Rh 2.75


Entry 12:
Compound: ZnIrRh4
Source: the Alexandria database
Functional: PBE
Structure: optimized geometry

- V (Å³/atom) = 15.37
- DFT total energy (eV/atom) = -6.175
- energy above the most stable polymorph in this dataset (kJ/mol of formula units) = 286
- formation energy (eV per atom) = 0.415

a b c (Å): 5.0717 5.0717 5.0717
angles (deg): 60.00 60.00 60.00
Last column: nearest neighbours and their distance in Å.
Fractional positions:
1 Zn 0.0000 0.0000 0.0000  12 Rh 2.97, 4 Ir 3.11
2 Ir 0.7500 0.7500 0.7500  12 Rh 2.97, 4 Zn 3.11
3 Rh 0.3749 0.3749 0.3749  6 Rh 2.53-2.54
4 Rh 0.3749 0.3749 0.8753  6 Rh 2.53-2.54
5 Rh 0.3749 0.8753 0.3749  6 Rh 2.53-2.54
6 Rh 0.8753 0.3749 0.3749  6 Rh 2.53-2.54